Below is a geometry-optimized LiZn2 structure, with properties calculated at the PBEsol level.

Unit cell a=2.658 b=5.196 c=6.459 alpha=103.87 beta=90.00 gamma=104.82
Sites, in units of the cell vectors:
Zn 0.329 0.659 0.660
Zn 0.730 0.460 0.948
Zn 0.054 0.107 0.615
Li 0.666 0.332 0.338
Zn 0.389 0.778 0.282
Li 0.998 0.996 0.990

Formation energy ... -120 meV per atom
Mass density ... 5.48 g/cm³
SG ... No. 8


Below is a geometry-optimized Li5Zn3 structure, with properties calculated at the PBEsol level.

Unit cell a=4.836 b=7.558 c=7.558 alpha=84.13 beta=71.34 gamma=71.34
Sites, in units of the cell vectors:
Li 0.925 0.302 0.848
Zn 0.675 0.500 0.150
Li 0.273 0.302 0.152
Li 0.075 0.698 0.152
Zn 0.325 0.500 0.850
Li 0.727 0.698 0.848
Li 0.773 0.152 0.302
Li 0.575 0.152 0.698
Zn 0.825 0.850 0.500
Zn 0.250 0.000 0.000
Li 0.750 0.500 0.500
Zn 0.750 0.000 0.000
Li 0.227 0.848 0.698
Li 0.425 0.848 0.302
Zn 0.175 0.150 0.500
Li 0.250 0.500 0.500

Formation energy ... -80 meV per atom
Mass density ... 3.09 g/cm³
SG ... No. 140
Polymorph energy (0 for the lowest one) ... 34 meV/atom